# 1
# TlRe2Se

A geometry-optimized TlRe2Se structure (PBE, Alexandria via LeMat-Bulk).

Structure (extended XYZ):
```
4
Lattice="-1.453 -1.179 4.194 -1.315 -4.096 -1.607 2.915 -1.200 0.672" Properties=species:S:1:pos:R:3 pbc="T T T"
Re -1.384 -2.637 1.294
Re 0.000 0.000 0.000
Tl 0.800 -2.648 -0.467
Se 0.731 -1.189 2.433
```

Computed properties:
Its density of states at the Fermi level is 4.5 states/eV/f.u. As for the polymorph energy (0 for the lowest one): 0.799 eV/atom. The calculation puts the total energy at -6.51 eV per atom. Its total magnetic moment is 0.00 μB per atom.

=====

# 2
# MgTePd2

A geometry-optimized MgTePd2 structure (PBE, Alexandria via LeMat-Bulk).

Structure (extended XYZ):
```
8
Lattice="-2.080 3.114 1.934 -3.643 -1.513 -1.482 -3.719 -4.337 7.576" Properties=species:S:1:pos:R:3 pbc="T T T"
Pd -3.454 -1.660 1.197
Pd -2.698 0.692 2.929
Pd -7.819 -1.861 6.068
Pd -4.913 -2.643 5.861
Te 0.000 0.000 0.000
Te -4.330 -0.211 4.868
Mg -5.112 -2.525 3.160
Mg -2.861 0.801 0.226
```

Computed properties:
Its density of states at the Fermi level is 0.8 states/eV/f.u. As for the polymorph energy (0 for the lowest one): 0.155 eV/atom. The calculation puts the total energy at -4.14 eV per atom. Its total magnetic moment is 0.00 μB per atom.

=====

# 3
# Na4BiO5

A geometry-optimized Na4BiO5 structure (PBE, Alexandria via LeMat-Bulk).

Structure (extended XYZ):
```
10
Lattice="4.637 0.000 0.000 2.319 5.471 0.000 2.319 0.000 5.471" Properties=species:S:1:pos:R:3 pbc="T T T"
Na 2.323 1.087 2.201
Na 6.960 4.384 3.270
Na 4.642 2.201 4.384
Na 4.642 3.270 1.087
Bi 0.005 0.000 0.000
O 4.642 4.466 3.612
O 6.960 1.859 4.466
O 2.323 3.612 1.005
O 4.642 1.005 1.859
O 2.323 0.000 0.000
```

Computed properties:
Its density of states at the Fermi level is 6.3 states/eV/f.u. The calculation puts the total energy at -4.62 eV per atom. Its total magnetic moment is 0.11 μB per atom.

=====

# 4
# V2HIrPd

A geometry-optimized V2HIrPd structure (PBE, Alexandria via LeMat-Bulk).

Structure (extended XYZ):
```
5
Lattice="-1.799 2.717 2.091 -0.245 -2.457 2.982 3.417 1.253 1.312" Properties=species:S:1:pos:R:3 pbc="T T T"
Pd 0.687 0.756 3.193
V -0.900 1.358 1.046
V -0.122 -1.229 1.491
H 0.000 0.000 0.000
Ir 1.709 0.626 0.656
```

Computed properties:
Its density of states at the Fermi level is 2.8 states/eV/f.u. As for the polymorph energy (0 for the lowest one): 0.004 eV/atom. The calculation puts the total energy at -7.38 eV per atom. Its total magnetic moment is 0.00 μB per atom.

=====

# 5
# Mg2TaTe

A geometry-optimized Mg2TaTe structure (PBE, Alexandria via LeMat-Bulk).

Structure (extended XYZ):
```
4
Lattice="-1.474 5.090 -0.325 -2.526 3.983 2.437 4.355 2.035 2.476" Properties=species:S:1:pos:R:3 pbc="T T T"
Mg 0.238 8.418 3.465
Mg 4.200 2.036 2.417
Te 0.344 2.734 1.227
Ta 0.104 5.508 2.248
```

Computed properties:
Its density of states at the Fermi level is 3.8 states/eV/f.u. The calculation puts the total energy at -4.35 eV per atom. Its total magnetic moment is 0.00 μB per atom.

=====

# 6
# LiPN2O

A geometry-optimized LiPN2O structure (PBE, Alexandria via LeMat-Bulk).

Structure (extended XYZ):
```
5
Lattice="3.388 0.000 0.000 0.000 3.388 0.000 0.000 0.000 3.622" Properties=species:S:1:pos:R:3 pbc="T T T"
Li 1.694 1.694 1.811
O 0.000 0.000 1.811
N 0.000 1.694 0.000
N 1.694 0.000 0.000
P 0.000 0.000 0.000
```

Computed properties:
Its density of states at the Fermi level is 2.4 states/eV/f.u. The calculation puts the total energy at -5.83 eV per atom. Its total magnetic moment is 0.06 μB per atom.

=====

# 7
# MnIn2Te

A geometry-optimized MnIn2Te structure (PBE, Alexandria via LeMat-Bulk).

Structure (extended XYZ):
```
4
Lattice="-2.515 -1.213 -1.420 2.205 -2.114 -2.100 -0.323 -5.960 5.661" Properties=species:S:1:pos:R:3 pbc="T T T"
In -0.146 -2.688 2.553
In -0.016 -0.292 0.278
Te -0.397 -6.133 2.486
Mn -0.236 -3.153 -0.345
```

Computed properties:
Its density of states at the Fermi level is 2.4 states/eV/f.u. The calculation puts the total energy at -4.22 eV per atom. Its total magnetic moment is 0.91 μB per atom.

=====

# 8
# Tb6ScCd5

A geometry-optimized Tb6ScCd5 structure (PBE, Alexandria via LeMat-Bulk).

Structure (extended XYZ):
```
12
Lattice="5.036 0.021 -1.470 -1.058 6.773 -3.527 -0.044 0.407 9.219" Properties=species:S:1:pos:R:3 pbc="T T T"
Tb 2.244 1.765 -1.648
Tb -0.135 6.350 -0.371
Tb 3.545 4.211 2.844
Tb 0.390 2.989 1.379
Tb 4.069 0.850 4.594
Tb 1.734 5.029 -3.348
Cd 3.121 1.190 1.349
Cd -0.529 3.386 -1.764
Cd 1.297 2.536 4.482
Cd 2.637 4.664 -0.259
Cd 0.813 6.011 2.873
Sc 0.000 0.000 0.000
```

Computed properties:
Its density of states at the Fermi level is 15.0 states/eV/f.u. The calculation puts the total energy at -3.46 eV per atom. Its total magnetic moment is 0.06 μB per atom. Its energy of formation is -0.234 eV per atom.

=====

# 9
# Fe2CuNiPt5

A geometry-optimized Fe2CuNiPt5 structure (PBE, Alexandria via LeMat-Bulk).

Structure (extended XYZ):
```
18
Lattice="6.068 0.000 0.000 0.000 6.068 0.000 -3.034 -3.034 7.138" Properties=species:S:1:pos:R:3 pbc="T T T"
Pt 1.607 -1.427 5.081
Pt 4.641 1.607 2.057
Pt -1.427 -1.607 5.081
Pt 4.461 4.641 2.057
Pt 0.000 0.000 0.000
Pt -1.607 1.427 5.081
Pt 1.607 1.427 2.057
Pt 3.034 3.034 0.000
Pt 1.427 4.461 2.057
Pt 1.427 1.607 5.081
Ni 0.000 0.000 3.569
Ni 3.034 3.034 3.569
Cu 0.000 3.034 3.569
Cu 3.034 0.000 3.569
Fe 0.696 2.338 0.000
Fe 5.372 3.730 0.000
Fe 2.338 5.372 0.000
Fe 3.730 0.696 0.000
```

Computed properties:
Its density of states at the Fermi level is 11.6 states/eV/f.u. The calculation puts the total energy at -6.14 eV per atom. Its total magnetic moment is 0.61 μB per atom. Its energy of formation is 0.197 eV per atom.

=====

# 10
# MgRe2AgAs

A geometry-optimized MgRe2AgAs structure (PBE, Alexandria via LeMat-Bulk).

Structure (extended XYZ):
```
5
Lattice="-4.151 -2.233 0.167 2.210 -4.084 0.337 -0.015 0.379 4.701" Properties=species:S:1:pos:R:3 pbc="T T T"
Re -2.076 -1.116 0.083
Re -0.008 0.190 2.351
Ag -0.978 -2.969 2.602
As 1.105 -2.042 0.168
Mg 0.000 0.000 0.000
```

Computed properties:
Its density of states at the Fermi level is 4.0 states/eV/f.u. The calculation puts the total energy at -4.55 eV per atom. Its total magnetic moment is 0.77 μB per atom. Its energy of formation is 2.249 eV per atom.

=====

# 11
# BeBiSb2I

A geometry-optimized BeBiSb2I structure (PBE, Alexandria via LeMat-Bulk).

Structure (extended XYZ):
```
5
Lattice="-4.105 3.886 -1.253 -3.745 -4.396 -1.363 -1.821 -0.153 5.494" Properties=species:S:1:pos:R:3 pbc="T T T"
Sb -0.910 -0.076 2.747
Sb -2.053 1.943 -0.626
Bi -1.873 -2.198 -0.682
Be -4.836 -0.332 1.439
I 0.000 0.000 0.000
```

Computed properties:
Its density of states at the Fermi level is 5.1 states/eV/f.u. As for the polymorph energy (0 for the lowest one): 1.186 eV/atom. The calculation puts the total energy at -1.88 eV per atom. Its total magnetic moment is 0.00 μB per atom.

=====

# 12
# CaPaMoN4

A geometry-optimized CaPaMoN4 structure (PBE, Alexandria via LeMat-Bulk).

Structure (extended XYZ):
```
14
Lattice="-1.923 -1.229 -5.614 4.617 -3.357 -0.846 -2.711 -4.739 4.009" Properties=species:S:1:pos:R:3 pbc="T T T"
N -3.729 -4.544 -2.588
N 2.097 -3.881 -2.674
N 1.467 -3.149 0.549
N -1.020 -3.511 -1.471
N -2.115 -5.444 0.223
N 1.002 -5.814 -0.980
N 3.711 -4.781 0.137
N -1.484 -6.176 -3.000
Mo -2.110 -4.977 -1.602
Mo 2.093 -4.348 -0.849
Pa 0.706 -5.623 -3.355
Pa -0.723 -3.702 0.904
Ca -0.378 -7.734 -0.899
Ca 0.361 -1.592 -1.552
```

Computed properties:
Its density of states at the Fermi level is 4.2 states/eV/f.u. The calculation puts the total energy at -8.85 eV per atom. Its total magnetic moment is 0.00 μB per atom.